# CaLa2MoN4

A relaxed CaLa2MoN4 crystal (PBE, Alexandria).

abc: 3.602 12.221 12.681
angles: 90.00 90.00 90.00
Space group Cmcm (No. 63)
Asymmetric unit:
Ca 0.000 0.110 0.250 [4 per cell]
La 0.000 0.369 0.037 [8 per cell]
Mo 0.000 0.165 0.750 [4 per cell]
N 0.000 0.000 0.000 [4 per cell]
N 0.000 0.264 0.634 [8 per cell]
N 0.000 0.412 0.250 [4 per cell]

Output
- ΔE_f (raw) (meV/atom) = -871
- E_tot (eV/atom) = -7.870
- mass density (g/cm³) = 5.6